Record 1
# Sr6Cd5 PBE-GGA optimized geometry
data_Sr6Cd5
_chemical_formula_sum 'Sr12 Cd10'
_cell_length_a 18.1851
_cell_length_b 8.0320
_cell_length_c 5.7565
_cell_angle_alpha 90.00
_cell_angle_beta 108.36
_cell_angle_gamma 90.00
_symmetry_space_group_name_H-M 'C 1 2/m 1'
_symmetry_Int_Tables_number 12
_symmetry_space_group_name_Hall '-C 2y'
loop_
_atom_site_label
_atom_site_fract_x
_atom_site_fract_y
_atom_site_fract_z
Sr1 0.0000 0.2491 0.0000
Sr2 0.1660 0.2498 0.6660
Cd1 0.0000 0.0000 0.5000
Cd2 0.1668 0.0000 0.1665
Cd3 0.1697 0.5000 0.1695
# * ρ: 4.53 Mg/m³
# * raw total energy: -35.40 eV for the cell shown

---

Record 2
# Hf3PbW PBE-GGA optimized geometry
data_Hf3PbW
_chemical_formula_sum 'Hf3 Pb1 W1'
_cell_length_a 5.1729
_cell_length_b 5.1729
_cell_length_c 5.1729
_cell_angle_alpha 90.00
_cell_angle_beta 90.00
_cell_angle_gamma 90.00
_symmetry_space_group_name_H-M 'P m -3 m'
_symmetry_Int_Tables_number 221
_symmetry_space_group_name_Hall '-P 4 2 3'
loop_
_atom_site_label
_atom_site_fract_x
_atom_site_fract_y
_atom_site_fract_z
Hf1 0.0000 0.0000 0.5000
Pb1 0.0000 0.0000 0.0000
W1 0.5000 0.5000 0.5000
# * ρ: 11.11 Mg/m³
# * E above lowest polymorph: 5.99 eV per formula unit
# * raw total energy: -36.41 eV for the cell shown

---

Record 3
# CsLaRh2 PBE-GGA optimized geometry
data_CsLaRh2
_chemical_formula_sum 'Cs4 La4 Rh8'
_cell_length_a 7.3363
_cell_length_b 7.3363
_cell_length_c 7.3363
_cell_angle_alpha 90.00
_cell_angle_beta 90.00
_cell_angle_gamma 90.00
_symmetry_space_group_name_H-M 'F m -3 m'
_symmetry_Int_Tables_number 225
_symmetry_space_group_name_Hall '-F 4 2 3'
loop_
_atom_site_label
_atom_site_fract_x
_atom_site_fract_y
_atom_site_fract_z
Cs1 0.0000 0.0000 0.0000
La1 0.0000 0.0000 0.5000
Rh1 0.2500 0.2500 0.2500
# * ρ: 8.03 Mg/m³
# * E above lowest polymorph: 0.15 eV per formula unit
# * raw total energy: -75.74 eV for the cell shown

---

Record 4
# Pd2Au13 PBE-GGA optimized geometry
data_Pd2Au13
_chemical_formula_sum 'Pd2 Au13'
_cell_length_a 5.0415
_cell_length_b 7.1699
_cell_length_c 7.7423
_cell_angle_alpha 72.26
_cell_angle_beta 83.58
_cell_angle_gamma 89.83
_symmetry_space_group_name_H-M 'P -1'
_symmetry_Int_Tables_number 2
_symmetry_space_group_name_Hall '-P 1'
loop_
_atom_site_label
_atom_site_fract_x
_atom_site_fract_y
_atom_site_fract_z
Pd1 0.0673 0.1340 0.1002
Au1 0.0000 0.0000 0.5000
Au2 0.1324 0.2611 0.7062
Au3 0.1988 0.3985 0.2999
Au4 0.2644 0.5318 0.9010
Au5 0.3335 0.6661 0.4987
Au6 0.3961 0.8032 0.0964
Au7 0.4662 0.9319 0.7020
# * ρ: 17.40 Mg/m³
# * E above lowest polymorph: 0.00 eV per formula unit
# * raw total energy: -53.56 eV for the cell shown

---

Record 5
# Sr2CdIrC PBE-GGA optimized geometry
data_Sr2CdIrC
_chemical_formula_sum 'Sr2 Cd1 Ir1 C1'
_cell_length_a 5.5864
_cell_length_b 5.5864
_cell_length_c 3.9012
_cell_angle_alpha 90.00
_cell_angle_beta 90.00
_cell_angle_gamma 90.00
_symmetry_space_group_name_H-M 'P 4/m m m'
_symmetry_Int_Tables_number 123
_symmetry_space_group_name_Hall '-P 4 2'
loop_
_atom_site_label
_atom_site_fract_x
_atom_site_fract_y
_atom_site_fract_z
Sr1 0.0000 0.5000 0.0000
Cd1 0.0000 0.0000 0.5000
Ir1 0.5000 0.5000 0.5000
C1 0.5000 0.5000 0.0000
# * ρ: 6.71 Mg/m³
# * raw total energy: -23.47 eV for the cell shown

---

Record 6
# Tb2ErMg2 PBE-GGA optimized geometry
data_Tb2ErMg2
_chemical_formula_sum 'Tb6 Er3 Mg6'
_cell_length_a 5.3930
_cell_length_b 5.3930
_cell_length_c 16.7723
_cell_angle_alpha 90.00
_cell_angle_beta 90.00
_cell_angle_gamma 120.00
_symmetry_space_group_name_H-M 'R -3 m'
_symmetry_Int_Tables_number 166
_symmetry_space_group_name_Hall '-R 3 2"'
loop_
_atom_site_label
_atom_site_fract_x
_atom_site_fract_y
_atom_site_fract_z
Tb1 0.0000 0.0000 0.2144
Er1 0.0000 0.0000 0.0000
Mg1 0.0000 0.0000 0.4101
# * ρ: 6.29 Mg/m³
# * E above lowest polymorph: 0.15 eV per formula unit
# * raw total energy: -51.54 eV for the cell shown

---

Record 7
# Cr2SiW PBE-GGA optimized geometry
data_Cr2SiW
_chemical_formula_sum 'Cr4 Si2 W2'
_cell_length_a 3.0410
_cell_length_b 4.0958
_cell_length_c 8.2432
_cell_angle_alpha 90.00
_cell_angle_beta 90.00
_cell_angle_gamma 90.00
_symmetry_space_group_name_H-M 'I m m 2'
_symmetry_Int_Tables_number 44
_symmetry_space_group_name_Hall 'I 2 -2'
loop_
_atom_site_label
_atom_site_fract_x
_atom_site_fract_y
_atom_site_fract_z
Cr1 0.0000 0.0000 0.0000
Cr2 0.0000 0.5000 0.2613
Si1 0.0000 0.0000 0.5127
W1 0.0000 0.5000 0.7491
# * ρ: 10.22 Mg/m³
# * formation energy (no corrections): -0.117 eV per atom
# * raw total energy: -76.18 eV for the cell shown

---

Record 8
# CsK2RbCu PBE-GGA optimized geometry
data_CsK2RbCu
_chemical_formula_sum 'Cs1 K2 Rb1 Cu1'
_cell_length_a 6.8412
_cell_length_b 6.8412
_cell_length_c 7.0369
_cell_angle_alpha 90.00
_cell_angle_beta 90.00
_cell_angle_gamma 90.00
_symmetry_space_group_name_H-M 'P 4/m m m'
_symmetry_Int_Tables_number 123
_symmetry_space_group_name_Hall '-P 4 2'
loop_
_atom_site_label
_atom_site_fract_x
_atom_site_fract_y
_atom_site_fract_z
Cs1 0.0000 0.0000 0.0000
K1 0.0000 0.5000 0.5000
Rb1 0.5000 0.5000 0.0000
Cu1 0.5000 0.5000 0.5000
# * ρ: 1.82 Mg/m³
# * raw total energy: -7.06 eV for the cell shown

---

Record 9
# GaCo2SnHg PBE-GGA optimized geometry
data_GaCo2SnHg
_chemical_formula_sum 'Ga1 Co2 Sn1 Hg1'
_cell_length_a 4.5498
_cell_length_b 4.5498
_cell_length_c 4.9342
_cell_angle_alpha 90.00
_cell_angle_beta 90.00
_cell_angle_gamma 90.00
_symmetry_space_group_name_H-M 'P 4/m m m'
_symmetry_Int_Tables_number 123
_symmetry_space_group_name_Hall '-P 4 2'
loop_
_atom_site_label
_atom_site_fract_x
_atom_site_fract_y
_atom_site_fract_z
Ga1 0.0000 0.0000 0.0000
Co1 0.0000 0.5000 0.0000
Sn1 0.5000 0.5000 0.5000
Hg1 0.0000 0.0000 0.5000
# * ρ: 8.24 Mg/m³
# * raw total energy: -17.59 eV for the cell shown

---

Record 10
# Rb2PSe PBE-GGA optimized geometry
data_Rb2PSe
_chemical_formula_sum 'Rb8 P4 Se4'
_cell_length_a 8.3099
_cell_length_b 8.3099
_cell_length_c 8.3099
_cell_angle_alpha 90.00
_cell_angle_beta 90.00
_cell_angle_gamma 90.00
_symmetry_space_group_name_H-M 'F m -3 m'
_symmetry_Int_Tables_number 225
_symmetry_space_group_name_Hall '-F 4 2 3'
loop_
_atom_site_label
_atom_site_fract_x
_atom_site_fract_y
_atom_site_fract_z
Rb1 0.2500 0.2500 0.2500
P1 0.0000 0.0000 0.0000
Se1 0.0000 0.0000 0.5000
# * ρ: 3.25 Mg/m³
# * formation energy (no corrections): -0.074 eV per atom
# * E above lowest polymorph: 0.48 eV per formula unit
# * raw total energy: -44.51 eV for the cell shown

---

Record 11
# Y2CuRhC PBE-GGA optimized geometry
data_Y2CuRhC
_chemical_formula_sum 'Y2 Cu1 Rh1 C1'
_cell_length_a 4.9535
_cell_length_b 4.9535
_cell_length_c 3.8688
_cell_angle_alpha 90.00
_cell_angle_beta 90.00
_cell_angle_gamma 90.00
_symmetry_space_group_name_H-M 'P 4/m m m'
_symmetry_Int_Tables_number 123
_symmetry_space_group_name_Hall '-P 4 2'
loop_
_atom_site_label
_atom_site_fract_x
_atom_site_fract_y
_atom_site_fract_z
Y1 0.0000 0.5000 0.0000
Cu1 0.0000 0.0000 0.5000
Rh1 0.5000 0.5000 0.5000
C1 0.5000 0.5000 0.0000
# * ρ: 6.23 Mg/m³
# * raw total energy: -35.53 eV for the cell shown

---

Record 12
# Y2Er2Sc7 PBE-GGA optimized geometry
data_Y2Er2Sc7
_chemical_formula_sum 'Y4 Er4 Sc14'
_cell_length_a 6.2098
_cell_length_b 11.1121
_cell_length_c 9.1692
_cell_angle_alpha 90.00
_cell_angle_beta 108.92
_cell_angle_gamma 90.00
_symmetry_space_group_name_H-M 'C 1 2/m 1'
_symmetry_Int_Tables_number 12
_symmetry_space_group_name_Hall '-C 2y'
loop_
_atom_site_label
_atom_site_fract_x
_atom_site_fract_y
_atom_site_fract_z
Y1 0.0000 0.2080 0.0000
Er1 0.1641 0.5000 0.7051
Sc1 0.0000 0.0000 0.5000
Sc2 0.2311 0.2891 0.3433
Sc3 0.2431 0.5000 0.1188
# * ρ: 4.59 Mg/m³
# * raw total energy: -128.95 eV for the cell shown